CaAcTe2 after structural relaxation, computed with PBE-GGA.

## Properties
Formation energy without anion corrections   -1.54 eV per atom

a b c (Å): 8.0173 8.0173 8.0173
angles (deg): 131.51 131.51 71.01
Closest atoms and distances in Å follow each position.
Sites, in units of the cell vectors:
Ca 0.3750 0.6250 0.7500  6 Te 3.16-3.29
Ca 0.6250 0.3750 0.2500  6 Te 3.16-3.29
Ac 0.1250 0.8750 0.2500  6 Te 3.29-3.37
Ac 0.8750 0.1250 0.7500  6 Te 3.29-3.37
Te 0.1331 0.3831 0.7500  3 Ca 3.16-3.29, 3 Ac 3.29-3.37
Te 0.3831 0.1331 0.2500  3 Ca 3.16-3.29, 3 Ac 3.29-3.37
Te 0.6169 0.8669 0.7500  3 Ca 3.16-3.29, 3 Ac 3.29-3.37
Te 0.8669 0.6169 0.2500  3 Ca 3.16-3.29, 3 Ac 3.29-3.37

***

DyTm7Sc2 after structural relaxation, computed with PBE-GGA.

## Properties
Energy of formation   0.682 eV per atom

a b c (Å): 8.6770 8.6770 5.4933
angles (deg): 90.00 90.00 120.13
Closest atoms and distances in Å follow each position.
Sites, in units of the cell vectors:
Dy 0.0000 0.0000 0.0000  10 Tm 3.54-3.63
Tm 0.0608 0.2996 0.5000  2 Sc 3.05-3.07, 2 Tm 3.12-3.30
Tm 0.2351 0.7649 0.0000  2 Sc 2.89
Tm 0.2996 0.0608 0.5000  2 Sc 3.05-3.07, 2 Tm 3.12-3.30
Tm 0.5000 0.5000 0.5000  2 Sc 3.08, 4 Tm 3.30
Tm 0.7004 0.9392 0.5000  2 Sc 3.05-3.07, 2 Tm 3.12-3.30
Tm 0.7649 0.2351 0.0000  2 Sc 2.89
Tm 0.9392 0.7004 0.5000  2 Sc 3.05-3.07, 2 Tm 3.12-3.30
Sc 0.2949 0.7051 0.5000  7 Tm 2.89-3.08
Sc 0.7051 0.2949 0.5000  7 Tm 2.89-3.08

***

TiNb3 after structural relaxation, computed with PBE-GGA.

## Properties
Energy of formation   0.017 eV per atom

a b c (Å): 3.3138 3.3138 6.5290
angles (deg): 90.00 90.00 90.00
Closest atoms and distances in Å follow each position.
Sites, in units of the cell vectors:
Ti 0.0000 0.0000 0.0000  8 Nb 2.87
Nb 0.0000 0.0000 0.5000  8 Nb 2.84
Nb 0.5000 0.5000 0.2536  4 Nb 2.84, 4 Ti 2.87
Nb 0.5000 0.5000 0.7464  4 Nb 2.84, 4 Ti 2.87

***

Number 1: size of the total moment 0.000 μB per cell. Number 2: size of the total moment 0.001 μB per cell. Number 3: size of the total moment 0.000 μB per cell.